A plane-wave DFT calculation with PBE-GGA was carried out for a relaxed AcScSi2Pd5 crystal.

POSCAR file:
```
AcScSi2Pd5
1.0
-1.021 -1.967 -3.618
3.380 -2.529 0.421
-5.035 -5.954 4.658
Si Pd Ac Sc
2 5 1 1
direct
0.500 0.500 0.126
0.500 0.500 0.874
0.500 0.500 0.500
0.500 0.000 0.252
0.000 0.500 0.748
0.500 0.000 0.748
0.000 0.500 0.252
0.000 0.000 0.500
0.000 0.000 0.000
```

## Properties
Size of the total moment   0.0 μB per cell
Formation energy (no corrections)   -0.7832 eV per atom
Electronic total energy   -6.033 eV per atom

A plane-wave DFT calculation with PBE-GGA was carried out for a relaxed Ca3Ag2Pd7 crystal.

POSCAR file:
```
Ca3Ag2Pd7
1.0
-1.968 -0.173 5.105
3.096 -1.971 4.062
3.608 7.504 4.580
Pd Ag Ca
7 2 3
direct
0.918 0.413 0.256
0.587 0.587 0.744
0.587 0.082 0.744
0.500 0.500 0.500
0.082 0.587 0.744
0.413 0.918 0.256
0.413 0.413 0.256
0.666 0.666 0.001
0.334 0.334 0.999
0.140 0.140 0.580
0.000 0.000 0.000
0.860 0.860 0.420
```

## Properties
Size of the total moment   0.0 μB per cell
Electronic total energy   -4.526 eV per atom
ΔE_f   -0.52 eV per atom

A plane-wave DFT calculation with PBE-GGA was carried out for a relaxed Ga13Ir2 crystal.

POSCAR file:
```
Ga13Ir2
1.0
-3.633 3.038 -2.883
-4.720 -1.976 4.262
5.574 6.656 1.978
Ir Ga
2 13
direct
0.195 0.236 0.317
0.805 0.764 0.683
0.534 0.763 0.902
0.226 0.453 0.923
0.720 0.168 0.741
0.280 0.832 0.259
0.554 0.349 0.564
0.219 0.985 0.715
0.774 0.547 0.077
0.446 0.651 0.436
0.936 0.575 0.374
0.064 0.425 0.626
0.000 0.000 0.000
0.781 0.015 0.285
0.466 0.237 0.098
```

## Properties
Size of the total moment   0.0 μB per cell
Electronic total energy   -3.962 eV per atom
ΔE_f   -0.16 eV per atom

A plane-wave DFT calculation with PBE-GGA was carried out for a relaxed Na2LiHS crystal.

POSCAR file:
```
Na2LiHS
1.0
-0.206 4.134 -1.316
-3.388 -0.976 -2.536
-2.547 0.851 3.074
Na S H Li
2 1 1 1
direct
0.000 0.500 0.000
0.500 0.000 0.000
0.500 0.500 0.500
0.000 0.000 0.000
0.000 0.000 0.500
```

## Properties
Size of the total moment   0.0 μB per cell
Electronic total energy   -3.101 eV per atom

A plane-wave DFT calculation with PBE-GGA was carried out for a relaxed IrAuF crystal.

POSCAR file:
```
IrAuF
1.0
-1.396 -7.251 -0.033
0.397 -0.089 2.712
-8.641 5.829 1.454
Ir F Au
4 4 4
direct
0.995 0.500 0.999
0.995 0.000 0.499
0.858 0.500 0.651
0.858 0.000 0.151
0.594 0.000 0.997
0.102 0.000 0.334
0.102 0.500 0.834
0.594 0.500 0.497
0.678 0.500 0.302
0.678 0.000 0.802
0.331 0.500 0.646
0.331 0.000 0.146
```

## Properties
Size of the total moment   0.0 μB per cell
Formation energy (no corrections)   -0.2616 eV per atom
Electronic total energy   -4.931 eV per atom
Offset from the most stable computed form   0.0000 eV per atom

A plane-wave DFT calculation with PBE-GGA was carried out for a relaxed Ta2CoRh crystal.

POSCAR file:
```
Ta2CoRh
1.0
4.706 -0.002 0.000
1.282 4.528 0.000
-2.994 -2.263 2.839
Co Ta Rh
1 2 1
direct
0.250 0.750 0.500
0.000 0.000 0.000
0.500 0.500 0.000
0.750 0.250 0.500
```

## Properties
Size of the total moment   0.0 μB per cell
Electronic total energy   -9.812 eV per atom
ΔE_f   -0.27 eV per atom

A plane-wave DFT calculation with PBE-GGA was carried out for a relaxed CdSnAs2O8 crystal.

POSCAR file:
```
CdSnAs2O8
1.0
5.506 0.000 0.000
-2.753 4.769 0.000
0.000 0.000 6.600
O As Sn Cd
8 2 1 1
direct
0.161 0.322 0.791
0.667 0.333 0.545
0.161 0.839 0.791
0.333 0.667 0.455
0.839 0.678 0.209
0.678 0.839 0.791
0.322 0.161 0.209
0.839 0.161 0.209
0.667 0.333 0.294
0.333 0.667 0.706
0.000 0.000 0.000
0.000 0.000 0.500
```

## Properties
Size of the total moment   0.0 μB per cell
Formation energy (no corrections)   -1.1711 eV per atom
Electronic total energy   -5.661 eV per atom

A plane-wave DFT calculation with PBE-GGA was carried out for a relaxed K3Dy3VSe8 crystal.

POSCAR file:
```
K3Dy3VSe8
1.0
-6.079 2.111 -4.966
-1.475 -1.376 7.874
4.357 7.804 -2.016
Dy K Se V
3 3 8 1
direct
0.500 0.500 0.500
0.000 0.500 0.500
0.500 0.000 0.500
0.500 0.500 0.000
0.000 0.000 0.000
0.000 0.500 0.000
0.736 0.471 0.707
0.784 0.025 0.310
0.241 0.025 0.310
0.216 0.975 0.690
0.264 0.529 0.293
0.759 0.975 0.690
0.784 0.569 0.310
0.216 0.431 0.690
0.000 0.000 0.500
```

## Properties
Size of the total moment   1.0 μB per cell
Formation energy (no corrections)   -1.4717 eV per atom
Electronic total energy   -5.078 eV per atom

A plane-wave DFT calculation with PBE-GGA was carried out for a relaxed Ac2GdTh crystal.

POSCAR file:
```
Ac2GdTh
1.0
3.689 0.000 0.000
1.844 3.195 0.000
1.844 1.065 13.191
Th Gd Ac
1 1 2
direct
0.000 0.000 0.000
0.500 0.500 0.500
0.911 0.911 0.267
0.089 0.089 0.733
```

## Properties
Size of the total moment   7.3 μB per cell
Electronic total energy   -7.144 eV per atom
ΔE_f   0.28 eV per atom
Offset from the most stable computed form   0.1794 eV per atom

A plane-wave DFT calculation with PBE-GGA was carried out for a relaxed YInSe3 crystal.

POSCAR file:
```
YInSe3
1.0
-0.509 -3.821 1.662
5.697 -2.444 -3.873
1.649 2.655 6.608
Se Y In
3 1 1
direct
0.000 0.207 0.793
0.500 0.691 0.785
0.500 0.215 0.309
0.000 0.434 0.566
0.500 0.081 0.919
```

## Properties
Size of the total moment   0.0 μB per cell
Formation energy (no corrections)   -1.0460 eV per atom
Electronic total energy   -4.977 eV per atom
Offset from the most stable computed form   0.1468 eV per atom

A plane-wave DFT calculation with PBE-GGA was carried out for a relaxed HoBe4SiIr2 crystal.

POSCAR file:
```
HoBe4SiIr2
1.0
-3.101 -1.014 2.174
0.439 -0.709 3.831
-2.276 7.034 3.569
Ho Ir Si Be
1 2 1 4
direct
0.000 0.000 0.000
0.229 0.229 0.314
0.771 0.771 0.686
0.500 0.500 0.500
0.407 0.407 0.779
0.123 0.123 0.630
0.877 0.877 0.370
0.593 0.593 0.221
```

## Properties
Size of the total moment   0.0 μB per cell
Formation energy (no corrections)   -0.3330 eV per atom
Electronic total energy   -5.661 eV per atom

A plane-wave DFT calculation with PBE-GGA was carried out for a relaxed RbLiCuH3 crystal.

POSCAR file:
```
RbLiCuH3
1.0
-3.191 -1.099 4.115
2.553 -4.420 0.800
2.702 5.211 3.486
H Li Cu Rb
6 2 2 2
direct
0.500 0.772 0.000
0.500 0.228 0.000
0.250 0.176 0.352
0.000 0.228 0.000
0.000 0.772 0.000
0.750 0.824 0.648
0.250 0.501 0.002
0.750 0.499 0.998
0.750 0.953 0.905
0.250 0.047 0.095
0.750 0.219 0.438
0.250 0.781 0.562
```

## Properties
Size of the total moment   0.0 μB per cell
Electronic total energy   -2.933 eV per atom